Crystalline K2LiIBr4 at its relaxed geometry, computed with PBE.

Values from the calculation:
Its formation energy without anion corrections is -1.210 eV per atom. The electronic total energy comes out at -2.754 eV per atom. For the density of states at the Fermi level, the calculation gives 0.0 states/eV/f.u. The space-group type is C2/c (15). For the spin magnetization, the calculation gives 0.0 μB/f.u.

Cell lengths 9.400, 9.400, 9.755 Å; angles 109.73, 109.73, 109.65 degrees
Fractional positions:
K1 0.500 0.000 0.000
K2 0.500 0.000 0.500
K3 0.000 0.000 0.500
K4 0.500 0.500 0.000
Li1 0.000 0.500 0.000
Li2 0.000 0.500 0.500
I1 0.500 0.500 0.500
I2 0.000 0.000 0.000
Br1 0.305 0.718 0.091
Br2 0.782 0.195 0.409
Br3 0.218 0.805 0.591
Br4 0.695 0.282 0.909
Br5 0.915 0.771 0.112
Br6 0.729 0.585 0.388
Br7 0.271 0.415 0.612
Br8 0.085 0.229 0.888

=====

Crystalline CrFe3Re2 at its relaxed geometry, computed with PBE.

Values from the calculation:
The calculated formation energy is -0.013 eV per atom. The electronic total energy comes out at -9.997 eV per atom. For the density of states at the Fermi level, the calculation gives 5.2 states/eV/f.u. The space-group type is R-3m (166). For the spin magnetization, the calculation gives 2.5 μB/f.u.

Cell lengths 4.698, 4.698, 4.656 Å; angles 90.06, 120.29, 119.95 degrees
Fractional positions:
Cr1 0.000 0.000 0.000
Fe1 0.500 0.500 0.500
Fe2 0.000 0.000 0.500
Fe3 0.500 0.000 0.500
Re1 0.749 0.375 0.124
Re2 0.251 0.625 0.876